AlVCuRu: relaxed, PBE.

Output
Theoretical density: 7.5 g/cm³
DOS at the Fermi energy: 3.3 states/eV per cell
Raw total energy: -27.431 eV for the cell shown
Symmetry: F-43m, No. 216
Size of the total moment: 0.66 μB per cell

```
AlVCuRu
1.0
-3.495 -1.524 -1.835
-0.048 -3.955 -1.504
-2.287 -2.978 1.951
Ru Al Cu V
1 1 1 1
Direct
0.750 0.750 0.750 Ru
0.500 0.500 0.500 Al
0.250 0.250 0.250 Cu
0.000 0.000 0.000 V
```

AlCuRu2W: relaxed, PBE.

Output
Theoretical density: 9.9 g/cm³
DOS at the Fermi energy: 9.3 states/eV per cell
Raw total energy: -33.178 eV for the cell shown
Symmetry: P4/mmm, No. 123
Size of the total moment: 0.00 μB per cell

```
AlCuRu2W
1.0
-0.105 -4.057 -1.668
-0.639 -1.548 3.806
-4.334 0.353 -0.584
Ru Cu W Al
2 1 1 1
Direct
0.000 0.000 0.500 Ru
0.500 0.000 0.000 Ru
0.000 0.500 0.000 Cu
0.500 0.500 0.500 W
0.000 0.000 0.000 Al
```